A geometry-optimized Tb3Sc4Pt4 structure, computed with PBE.

a = 4.323 Å, b = 7.740 Å, c = 8.569 Å
α = 116.85°, β = 104.61°, γ = 90.00°
Sites, in units of the cell vectors:
Tb: 0.109 0.109 0.218
Tb: 0.891 0.891 0.782
Tb: 0.000 0.500 0.000
Sc: 0.327 0.127 0.654
Sc: 0.673 0.473 0.346
Sc: 0.673 0.873 0.346
Sc: 0.327 0.527 0.654
Pt: 0.216 0.716 0.433
Pt: 0.784 0.284 0.567
Pt: 0.500 0.810 0.000
Pt: 0.500 0.190 0.000

A geometry-optimized DyTm2UP4 structure, computed with PBE.

a = 3.944 Å, b = 6.850 Å, c = 6.840 Å
α = 109.26°, β = 90.00°, γ = 90.00°
Each line ends with the local moment (μB).
Sites, in units of the cell vectors:
Dy: 0.500 0.500 0.000  0.02
Tm: 0.500 0.000 0.500  0.01
Tm: 0.000 0.500 0.500  0.02
U: 0.000 0.000 0.000  1.90
P: 0.500 0.247 0.249  -0.04
P: 0.500 0.753 0.751  -0.04
P: 0.000 0.245 0.750  -0.03
P: 0.000 0.755 0.250  -0.03

A geometry-optimized BaLi2Ag4 structure, computed with PBE.

a = 5.521 Å, b = 6.005 Å, c = 6.005 Å
α = 77.80°, β = 62.63°, γ = 62.63°
Sites, in units of the cell vectors:
Ba: 0.000 0.000 0.000
Li: 0.750 0.500 0.500
Li: 0.250 0.500 0.500
Ag: 0.693 0.000 0.613
Ag: 0.307 0.000 0.387
Ag: 0.307 0.387 0.000
Ag: 0.693 0.613 0.000

A geometry-optimized PrB2Os structure, computed with PBE.

a = 3.890 Å, b = 5.653 Å, c = 11.411 Å
α = 90.00°, β = 90.00°, γ = 90.00°
Sites, in units of the cell vectors:
Pr: 0.750 0.624 0.371
Pr: 0.750 0.124 0.129
Pr: 0.250 0.376 0.629
Pr: 0.250 0.876 0.871
B: 0.750 0.634 0.049
B: 0.250 0.366 0.951
B: 0.750 0.134 0.451
B: 0.250 0.866 0.549
B: 0.750 0.132 0.751
B: 0.250 0.368 0.251
B: 0.750 0.632 0.749
B: 0.250 0.868 0.249
Os: 0.250 0.117 0.375
Os: 0.750 0.883 0.625
Os: 0.250 0.617 0.125
Os: 0.750 0.383 0.875

A geometry-optimized AcAl4Au2 structure, computed with PBE.

a = 4.366 Å, b = 7.408 Å, c = 17.714 Å
α = 90.00°, β = 90.00°, γ = 90.00°
Sites, in units of the cell vectors:
Ac: 0.750 0.995 0.614
Ac: 0.250 0.005 0.386
Ac: 0.250 0.495 0.886
Ac: 0.750 0.505 0.114
Au: 0.250 0.688 0.540
Au: 0.750 0.312 0.460
Au: 0.750 0.188 0.960
Au: 0.250 0.812 0.040
Au: 0.250 0.973 0.765
Au: 0.750 0.027 0.235
Au: 0.750 0.473 0.735
Au: 0.250 0.527 0.265
Al: 0.250 0.288 0.697
Al: 0.750 0.712 0.303
Al: 0.750 0.788 0.803
Al: 0.250 0.212 0.197
Al: 0.250 0.669 0.690
Al: 0.750 0.331 0.310
Al: 0.750 0.169 0.810
Al: 0.250 0.831 0.190
Al: 0.250 0.288 0.542
Al: 0.750 0.712 0.458
Al: 0.750 0.788 0.958
Al: 0.250 0.212 0.042
Al: 0.250 0.497 0.408
Al: 0.750 0.503 0.592
Al: 0.750 0.997 0.092
Al: 0.250 0.003 0.908

A geometry-optimized CdIn2BiH structure, computed with PBE.

a = 5.045 Å, b = 5.045 Å, c = 4.529 Å
α = 90.00°, β = 90.00°, γ = 90.00°
Sites, in units of the cell vectors:
H: 0.000 0.000 0.000
Cd: 0.000 0.000 0.500
Bi: 0.500 0.500 0.500
In: 0.000 0.500 0.000
In: 0.500 0.000 0.000

A geometry-optimized TmAlGa6 structure, computed with PBE.

a = 3.942 Å, b = 6.154 Å, c = 6.154 Å
α = 90.02°, β = 90.00°, γ = 90.00°
Sites, in units of the cell vectors:
Tm: 0.500 0.000 0.000
Al: 0.500 0.500 0.500
Ga: 0.000 0.734 0.266
Ga: 0.000 0.266 0.734
Ga: 0.000 0.734 0.734
Ga: 0.000 0.266 0.266
Ga: 0.500 0.500 0.000
Ga: 0.500 0.000 0.500

A geometry-optimized Nd2Si4IrPd3 structure, computed with PBE.

a = 4.207 Å, b = 4.207 Å, c = 10.058 Å
α = 90.00°, β = 90.00°, γ = 90.00°
Sites, in units of the cell vectors:
Nd: 0.500 0.000 0.244
Nd: 0.000 0.500 0.756
Si: 0.500 0.500 0.000
Si: 0.000 0.000 0.000
Si: 0.500 0.000 0.630
Si: 0.000 0.500 0.370
Ir: 0.500 0.500 0.500
Pd: 0.000 0.000 0.500
Pd: 0.500 0.000 0.875
Pd: 0.000 0.500 0.125

A geometry-optimized Li3TbSe3 structure, computed with PBE.

a = 7.347 Å, b = 7.347 Å, c = 7.975 Å
α = 62.57°, β = 62.57°, γ = 60.00°
Sites, in units of the cell vectors:
Li: 0.421 0.813 0.637
Li: 0.813 0.129 0.637
Li: 0.129 0.421 0.637
Li: 0.871 0.579 0.363
Li: 0.187 0.871 0.363
Li: 0.579 0.187 0.363
Tb: 0.334 0.334 0.999
Tb: 0.666 0.666 0.001
Se: 0.276 0.555 0.249
Se: 0.921 0.276 0.249
Se: 0.555 0.921 0.249
Se: 0.445 0.079 0.751
Se: 0.079 0.724 0.751
Se: 0.724 0.445 0.751

A geometry-optimized KMo2Os structure, computed with PBE.

a = 4.609 Å, b = 4.609 Å, c = 4.609 Å
α = 60.00°, β = 60.00°, γ = 60.00°
Sites, in units of the cell vectors:
K: 0.500 0.500 0.500
Mo: 0.000 0.000 0.000
Mo: 0.250 0.250 0.250
Os: 0.750 0.750 0.750

A geometry-optimized BaSr3Pd structure, computed with PBE.

a = 8.544 Å, b = 8.805 Å, c = 7.513 Å
α = 89.60°, β = 90.26°, γ = 121.68°
Sites, in units of the cell vectors:
Sr: 0.673 0.611 0.446
Sr: 0.194 0.368 0.102
Sr: 0.176 0.599 0.599
Sr: 0.197 0.855 0.111
Sr: 0.693 0.867 0.957
Sr: 0.675 0.099 0.455
Ba: 0.172 0.103 0.609
Ba: 0.697 0.363 0.948
Pd: 0.435 0.733 0.278
Pd: 0.935 0.233 0.778

no.,energy (eV/atom)
1,-6.727
2,-7.255
3,-2.632
4,-7.636
5,-4.240
6,-2.535
7,-3.509
8,-6.479
9,-4.467
10,-6.971
11,-2.726